(1)
The following is a DFT calculation (GGA-PBE) of a geometry-optimized Li2GaIrS4 structure.

Cell and atoms, written as CIF:
```
data_Li2GaIrS4
_symmetry_space_group_name_H-M 'I -4'
_symmetry_Int_Tables_number 82
_cell_length_a 5.911
_cell_length_b 5.911
_cell_length_c 9.153
_cell_angle_alpha 90.00
_cell_angle_beta 90.00
_cell_angle_gamma 90.00
loop_
_symmetry_equiv_pos_as_xyz
'x,y,z'
'y,-x,-z'
'-x,-y,z'
'-y,x,-z'
'x+1/2,y+1/2,z+1/2'
'y+1/2,-x+1/2,-z+1/2'
'-x+1/2,-y+1/2,z+1/2'
'-y+1/2,x+1/2,-z+1/2'
loop_
_atom_site_label
_atom_site_fract_x
_atom_site_fract_y
_atom_site_fract_z
Li1 0.000 0.000 0.000
Li2 0.000 0.500 0.250
Ga1 0.000 0.500 0.750
Ir1 0.000 0.000 0.500
S1 0.228 0.258 0.615
```

Computed properties:
As for the crystal system: tetragonal. The calculated total energy comes out at -4.61 eV per atom.

***

(2)
The following is a DFT calculation (GGA-PBE) of a geometry-optimized ZnPd3S6 structure.

Cell and atoms, written as CIF:
```
data_ZnPd3S6
_symmetry_space_group_name_H-M 'C m m m'
_symmetry_Int_Tables_number 65
_symmetry_space_group_name_Hall '-C 2 2'
_cell_length_a 8.644
_cell_length_b 11.779
_cell_length_c 3.675
_cell_angle_alpha 90.00
_cell_angle_beta 90.00
_cell_angle_gamma 90.00
loop_
_atom_site_label
_atom_site_fract_x
_atom_site_fract_y
_atom_site_fract_z
Zn1 0.000 0.000 0.000
Pd1 0.000 0.500 0.000
Pd2 0.250 0.250 0.500
S1 0.000 0.151 0.500
S2 0.208 0.377 0.000
```

Computed properties:
As for the crystal system: orthorhombic. The calculated total energy comes out at -4.34 eV per atom.

***

(3)
The following is a DFT calculation (GGA-PBE) of a geometry-optimized Er2Tm2GaNi2Ge4 structure.

Cell and atoms, written as CIF:
```
data_Er2Tm2GaNi2Ge4
_symmetry_space_group_name_H-M 'C 1 2/m 1'
_symmetry_Int_Tables_number 12
_cell_length_a 15.202
_cell_length_b 4.177
_cell_length_c 6.895
_cell_angle_alpha 90.00
_cell_angle_beta 108.46
_cell_angle_gamma 90.00
loop_
_symmetry_equiv_pos_as_xyz
'x,y,z'
'-x,-y,-z'
'-x,y,-z'
'x,-y,z'
'x+1/2,y+1/2,z'
'-x+1/2,-y+1/2,-z'
'-x+1/2,y+1/2,-z'
'x+1/2,-y+1/2,z'
loop_
_atom_site_label
_atom_site_fract_x
_atom_site_fract_y
_atom_site_fract_z
Er1 0.091 0.000 0.388
Tm1 0.155 0.000 0.938
Ga1 0.000 0.500 0.000
Ni1 0.218 0.500 0.641
Ge1 0.066 0.500 0.665
Ge2 0.202 0.500 0.267
```

Computed properties:
As for the crystal system: monoclinic. The calculated total energy comes out at -5.39 eV per atom.

***

calculated total energy of number 3 (Er2Tm2GaNi2Ge4)? -5.39 eV per atom